A relaxed BeZnCo2 crystal, computed with GGA-PBE.

Cell lengths 2.9786, 3.8015, 3.8464 Å; angles 90.00, 90.00, 90.00 degrees
Fractional coordinates of all 4 atoms:
1 Be 0.0000 0.0000 0.0000
2 Zn 0.5000 0.0000 0.5000
3 Co 0.0000 0.5000 0.5000
4 Co 0.5000 0.5000 0.0000

Results
For the formation energy, the calculation gives 0.01 eV per atom. The energy above the most stable polymorph in this dataset is 0.130 eV per atom. The space-group type is Pmmm (47). The value obtained for the density is 7.33 g cm⁻³.